## one
Tb2GdTm | PBE-GGA | relaxed

Computed properties:
- Magnetization: 7.2 μB/f.u.
- Volume: 31.5 Å³ per atom

Cell lengths 3.5440, 3.5440, 10.0436 Å; angles 90.00, 90.00, 90.00 degrees
Closest atoms and distances in Å follow each position.
Fractional coordinates of all 4 atoms:
Tb: 0.0000 0.0000 0.2459  4 Tm 3.52, 4 Tb 3.54, 4 Gd 3.58
Tb: 0.0000 0.0000 0.7541  4 Tm 3.52, 4 Tb 3.54, 4 Gd 3.58
Gd: 0.5000 0.5000 0.5000  4 Gd 3.54, 8 Tb 3.58
Tm: 0.5000 0.5000 0.0000  8 Tb 3.52, 4 Tm 3.54

=====

## two
Tb2GdTm | PBE-GGA | relaxed

Computed properties:
- Magnetization: 8.9 μB/f.u.
- Volume: 32.0 Å³ per atom

Cell lengths 5.6563, 5.6563, 5.6563 Å; angles 60.00, 60.00, 60.00 degrees
Closest atoms and distances in Å follow each position.
Fractional coordinates of all 4 atoms:
Tb: 0.7500 0.7500 0.7500  4 Gd 3.46, 4 Tm 3.46
Tb: 0.2500 0.2500 0.2500  4 Gd 3.46, 4 Tm 3.46
Gd: 0.0000 0.0000 0.0000  8 Tb 3.46
Tm: 0.5000 0.5000 0.5000  8 Tb 3.46

=====

If you had to bet on the most stable structure above, which would it be? Bet on one.